1.
This record from Alexandria via LeMat-Bulk describes a relaxed structure of TaIn3As. The functional is GGA-PBE.

Structure (POSCAR):
```
TaIn3As
1.0
5.228 0.000 0.000
0.000 5.228 0.000
0.000 0.000 5.228
Ta In As
1 3 1
Direct
0.000 0.000 0.000 Ta
0.000 0.500 0.500 In
0.500 0.000 0.500 In
0.500 0.500 0.000 In
0.500 0.500 0.500 As
```

Calculated values
Size of the total moment (μB/atom): 0.51
N(E_F) (states/eV per cell): 5.21

2.
This record from Alexandria via LeMat-Bulk describes a relaxed structure of TaIn3As. The functional is GGA-PBE.

Structure (POSCAR):
```
TaIn3As
1.0
5.420 0.000 0.000
0.000 5.420 0.000
0.000 0.000 5.420
Ta In As
1 3 1
Direct
0.000 0.000 0.000 Ta
0.000 0.000 0.500 In
0.000 0.500 0.000 In
0.500 0.000 0.000 In
0.500 0.500 0.500 As
```

Calculated values
Size of the total moment (μB/atom): 0.00
N(E_F) (states/eV per cell): 5.67

Short version: 2, 1, most stable first.

1.
This record from Alexandria via LeMat-Bulk describes a relaxed structure of TaInAs3. The functional is GGA-PBE.

Structure (POSCAR):
```
TaInAs3
1.0
5.050 0.000 0.000
0.000 5.050 0.000
0.000 0.000 5.050
Ta In As
1 1 3
Direct
0.000 0.000 0.000 Ta
0.500 0.500 0.500 In
0.000 0.000 0.500 As
0.000 0.500 0.000 As
0.500 0.000 0.000 As
```

Calculated values
Size of the total moment (μB/atom): 0.00
N(E_F) (states/eV per cell): 4.33

2.
This record from Alexandria via LeMat-Bulk describes a relaxed structure of TaInAs3. The functional is GGA-PBE.

Structure (POSCAR):
```
TaInAs3
1.0
5.027 0.000 0.000
0.000 5.027 0.000
0.000 0.000 5.027
Ta In As
1 1 3
Direct
0.000 0.000 0.000 Ta
0.500 0.500 0.500 In
0.000 0.500 0.500 As
0.500 0.000 0.500 As
0.500 0.500 0.000 As
```

Calculated values
Size of the total moment (μB/atom): 0.00
N(E_F) (states/eV per cell): 7.05

Short version: 1, 2, most stable first.

1.
This record from Alexandria via LeMat-Bulk describes a relaxed structure of InTc3As. The functional is GGA-PBE.

Structure (POSCAR):
```
InTc3As
1.0
4.574 0.000 0.000
0.000 4.574 0.000
0.000 0.000 4.574
In Tc As
1 3 1
Direct
0.000 0.000 0.000 In
0.000 0.500 0.500 Tc
0.500 0.000 0.500 Tc
0.500 0.500 0.000 Tc
0.500 0.500 0.500 As
```

Calculated values
Size of the total moment (μB/atom): 0.45
N(E_F) (states/eV per cell): 2.90

2.
This record from Alexandria via LeMat-Bulk describes a relaxed structure of InTc3As. The functional is GGA-PBE.

Structure (POSCAR):
```
InTc3As
1.0
4.997 0.000 0.000
0.000 4.997 0.000
0.000 0.000 4.997
In Tc As
1 3 1
Direct
0.000 0.000 0.000 In
0.000 0.000 0.500 Tc
0.000 0.500 0.000 Tc
0.500 0.000 0.000 Tc
0.500 0.500 0.500 As
```

Calculated values
Size of the total moment (μB/atom): 1.71
N(E_F) (states/eV per cell): 5.13

Short version: 1, 2, most stable first.